Material: Cu2Ag3
Method: DFT, PBE
State: optimized geometry

Cell lengths 11.790, 2.855, 9.413 Å; angles 90.00, 99.84, 90.00 degrees
Space group Cm (No. 8)
Unique sites:
Cu: 0.000 0.000 0.000 [2 per cell]
Cu: 0.091 0.000 0.271 [2 per cell]
Cu: 0.188 0.500 0.093 [2 per cell]
Cu: 0.302 0.000 0.911 [2 per cell]
Ag: 0.106 0.500 0.815 [2 per cell]
Ag: 0.196 0.000 0.599 [2 per cell]
Ag: 0.281 0.500 0.381 [2 per cell]
Ag: 0.394 0.000 0.182 [2 per cell]
Ag: 0.399 0.500 0.712 [2 per cell]
Ag: 0.494 0.000 0.482 [2 per cell]

## Properties
Energy above the lowest structure with this stoichiometry   52 meV/atom
Energy of formation from the pure elements   0.084 eV/atom